A crystal of SiSb5 relaxed with PBEsol, computed with SCAN.

a b c (Å): 6.0917 6.0917 6.0917
angles (deg): 60.00 60.00 60.00
Last column: nearest neighbours and their distance in Å.
Sites, in units of the cell vectors:
Si 0.0000 0.0000 0.0000  16 Sb 3.57-3.73
Sb 0.3751 0.3751 0.3751  6 Sb 3.04-3.05
Sb 0.3751 0.3751 0.8748  6 Sb 3.04-3.05
Sb 0.3751 0.8748 0.3751  6 Sb 3.04-3.05
Sb 0.7500 0.7500 0.7500  12 Sb 3.57, 4 Si 3.73
Sb 0.8748 0.3751 0.3751  6 Sb 3.04-3.05

Output
The space-group type is F-43m (216). Its spin magnetization is 0.000 μB/atom. The value obtained for the formation energy from raw total energies is 754 meV/atom. The density of states at the Fermi level comes out at 4.068 states/eV per cell. For the calculated total energy, the calculation gives -31.97 eV/atom.